No. 1
TiTcI2N: PBEsol geometry, SCAN.

a = 5.434 Å, b = 5.434 Å, c = 3.692 Å
α = 90.00°, β = 90.00°, γ = 90.00°
Space group P4/mmm (No. 123)
Inequivalent atoms, fractional coordinates:
Ti 0.000 0.000 0.000 [1 per cell]
Tc 0.500 0.500 0.500 [1 per cell]
I 0.000 0.500 0.500 [2 per cell]
N 0.500 0.500 0.000 [1 per cell]

No. 2
TiTe2IN: PBEsol geometry, SCAN.

a = 5.224 Å, b = 5.224 Å, c = 5.578 Å
α = 90.00°, β = 90.00°, γ = 90.00°
Space group P4/mmm (No. 123)
Inequivalent atoms, fractional coordinates:
Ti 0.000 0.000 0.000 [1 per cell]
Te 0.000 0.500 0.000 [2 per cell]
I 0.000 0.000 0.500 [1 per cell]
N 0.500 0.500 0.500 [1 per cell]

No. 3
YTeIN2: PBEsol geometry, SCAN.

a = 4.475 Å, b = 4.475 Å, c = 6.244 Å
α = 90.00°, β = 90.00°, γ = 90.00°
Space group P4/mmm (No. 123)
Inequivalent atoms, fractional coordinates:
Y 0.000 0.000 0.000 [1 per cell]
Te 0.500 0.500 0.500 [1 per cell]
I 0.000 0.000 0.500 [1 per cell]
N 0.000 0.500 0.000 [2 per cell]

No. 4
ZnTe2IN: PBEsol geometry, SCAN.

a = 5.913 Å, b = 5.913 Å, c = 3.876 Å
α = 90.00°, β = 90.00°, γ = 90.00°
Space group P4/mmm (No. 123)
Inequivalent atoms, fractional coordinates:
Zn 0.000 0.000 0.000 [1 per cell]
Te 0.000 0.500 0.500 [2 per cell]
I 0.500 0.500 0.500 [1 per cell]
N 0.500 0.500 0.000 [1 per cell]

No. 5
ZnTeI2N: PBEsol geometry, SCAN.

a = 4.981 Å, b = 4.981 Å, c = 4.652 Å
α = 90.00°, β = 90.00°, γ = 90.00°
Space group P4/mmm (No. 123)
Inequivalent atoms, fractional coordinates:
Zn 0.000 0.000 0.000 [1 per cell]
Te 0.500 0.500 0.000 [1 per cell]
I 0.000 0.500 0.500 [2 per cell]
N 0.500 0.500 0.500 [1 per cell]

No. 6
ZrTeI2N: PBEsol geometry, SCAN.

a = 6.044 Å, b = 6.044 Å, c = 3.897 Å
α = 90.00°, β = 90.00°, γ = 90.00°
Space group P4/mmm (No. 123)
Inequivalent atoms, fractional coordinates:
Zr 0.000 0.000 0.000 [1 per cell]
Te 0.500 0.500 0.500 [1 per cell]
I 0.000 0.500 0.500 [2 per cell]
N 0.500 0.500 0.000 [1 per cell]

Here are the calculated E_tot numbers, same order: -26.40, -26.61, -23.44, -25.47, -25.73, -29.26 (eV per atom).
Here are the calculated uncorrected formation energy numbers, same order: 8.61, 16.19, 14.74, 30.86, 22.49, 20.35 (kcal/mol of atoms).
Here are the calculated total magnetization numbers, same order: 0.3769, 0.5724, 0.7384, 0.0000, 0.0000, 0.5344 (μB/atom).